# 1
## Pm2AsS4 (PBE)

Data for Pm2AsS4 after structural relaxation.

Unit cell a=6.613 b=6.613 c=7.333 alpha=90.00 beta=90.00 gamma=90.00
Space group I4/mmm (No. 139)
Symmetry-distinct sites (fractional):
Pm1 0.000 0.500 0.250 x4
As1 0.000 0.000 0.000 x2
S1 0.238 0.238 0.500 x8

Computed properties:
formation energy without anion corrections: -1.230 eV per atom
N(E_F): 5.844 states/eV/cell
calculated volume: 22.91 Å³ per atom

# 2
## SrFeHg (PBE)

Data for SrFeHg after structural relaxation.

Unit cell a=6.875 b=6.875 c=6.875 alpha=90.00 beta=90.00 gamma=90.00
Space group F-43m (No. 216)
Symmetry-distinct sites (fractional):
Sr1 0.000 0.000 0.000 x4
Fe1 0.250 0.250 0.750 x4
Hg1 0.000 0.000 0.500 x4

Computed properties:
energy relative to the elements: 44.9 kJ/mol of atoms
N(E_F): 26.837 states/eV/cell
calculated volume: 27.08 Å³ per atom